Computed, not measured: a relaxed structure of Mn4Si5O15 at the PBE+U level of DFT.

```
48
Lattice="6.710 -0.023 -0.010 -0.492 7.436 -0.040 -1.035 -3.444 11.569" Properties=species:S:1:pos:R:3 pbc="T T T"
Mn 0.008 0.242 1.868
Mn 0.206 0.852 5.180
Mn 3.890 -1.418 11.168
Mn 1.295 5.387 0.352
Mn 4.918 2.799 3.033
Mn 5.176 3.727 9.652
Mn 4.978 3.117 6.339
Mn 0.266 1.169 8.486
Si 1.433 3.135 2.940
Si 3.021 1.061 1.398
Si 4.784 5.743 3.998
Si 0.401 -1.774 7.521
Si 4.771 5.103 0.903
Si 2.163 2.907 10.121
Si 0.413 -1.134 10.616
Si 3.529 0.362 5.539
Si 3.751 0.834 8.579
Si 1.655 3.607 5.980
O 1.147 5.007 6.653
O 5.156 4.253 4.533
O 0.183 2.070 3.044
O 1.203 4.253 1.816
O 0.524 3.054 10.241
O 0.853 -1.576 9.100
O 3.448 0.132 7.153
O 5.397 4.533 7.581
O 0.029 -0.284 6.987
O 2.105 0.816 4.942
O -0.833 -2.037 11.149
O 4.331 5.544 2.419
O 4.817 1.452 5.211
O 5.001 1.899 8.475
O -0.213 -0.565 3.939
O 6.018 6.006 0.370
O 0.367 2.517 6.308
O 3.079 3.153 6.577
O 5.003 3.501 0.962
O 1.716 -1.536 11.552
O 3.468 5.504 -0.033
O 0.181 0.468 10.557
O 2.373 1.755 8.933
O 3.981 -0.284 9.703
O 4.038 -1.038 4.866
O 3.113 4.191 9.984
O 1.736 3.836 4.366
O 2.811 2.213 2.586
O 4.660 0.915 1.278
O 2.071 -0.222 1.535
```

Properties
Total energy: -373.61 eV for the cell shown
Space-group type: P-1, No. 2